First-principles (PBE) data for a geometry-optimized CaEuGa4 structure, as listed in the Alexandria database.

Calculated values
The calculation puts the energy of formation at -0.4702 eV per atom.

```
data_CaEuGa4
_cell_length_a 8.000
_cell_length_b 8.000
_cell_length_c 8.000
_cell_angle_alpha 90.00
_cell_angle_beta 90.00
_cell_angle_gamma 90.00
_space_group_name_H-M_alt 'F -4 3 m'
_space_group_IT_number 216
_space_group_name_Hall 'F -4 2 3'
loop_
_atom_site_label
_atom_site_type_symbol
_atom_site_fract_x
_atom_site_fract_y
_atom_site_fract_z
Ca1 Ca 0.000 0.000 0.000
Eu1 Eu 0.250 0.250 0.250
Ga1 Ga 0.125 0.125 0.625
```